A plane-wave DFT calculation with GGA-PBE was carried out for a relaxed Pr3Cd2Hg2 crystal.

Output
Crystal system ... triclinic
E_tot ... -0.0979 Ha/atom

```
data_Pr3Cd2Hg2
_space_group_name_H-M_alt 'P -1'
_space_group_IT_number 2
_cell_length_a 5.2546
_cell_length_b 5.4085
_cell_length_c 8.9295
_cell_angle_alpha 101.89
_cell_angle_beta 90.12
_cell_angle_gamma 118.75
loop_
_space_group_symop_operation_xyz
'x,y,z'
'-x,-y,-z'
loop_
_atom_site_label
_atom_site_fract_x
_atom_site_fract_y
_atom_site_fract_z
Pr1 0.0000 0.0000 0.0000
Pr2 0.2799 0.5631 0.7041
Cd1 0.3582 0.7140 0.1333
Hg1 0.0632 0.1192 0.3618
```



A plane-wave DFT calculation with GGA-PBE was carried out for a relaxed PrCd3Hg4 crystal.

Output
Crystal system ... orthorhombic
E_tot ... -0.0475 Ha/atom

```
data_PrCd3Hg4
_space_group_name_H-M_alt 'P m m a'
_space_group_IT_number 51
_cell_length_a 9.8355
_cell_length_b 8.1174
_cell_length_c 4.9170
_cell_angle_alpha 90.00
_cell_angle_beta 90.00
_cell_angle_gamma 90.00
loop_
_space_group_symop_operation_xyz
'x,y,z'
'-x,-y,-z'
'-x+1/2,-y,z'
'x+1/2,y,-z'
'x+1/2,-y,-z'
'-x+1/2,y,z'
'-x,y,-z'
'x,-y,z'
loop_
_atom_site_label
_atom_site_fract_x
_atom_site_fract_y
_atom_site_fract_z
Pr1 0.0000 0.0000 0.0000
Cd1 0.0000 0.5000 0.0000
Cd2 0.2500 0.0000 0.4992
Cd3 0.2500 0.5000 0.4976
Hg1 0.0000 0.2625 0.5000
Hg2 0.2500 0.2625 0.9980
```



A plane-wave DFT calculation with GGA-PBE was carried out for a relaxed Pr3Cd3Hg crystal.

Output
Crystal system ... orthorhombic
E_tot ... -0.1032 Ha/atom

```
data_Pr3Cd3Hg
_space_group_name_H-M_alt 'I m m 2'
_space_group_IT_number 44
_cell_length_a 3.5776
_cell_length_b 5.0617
_cell_length_c 21.6207
_cell_angle_alpha 90.00
_cell_angle_beta 90.00
_cell_angle_gamma 90.00
loop_
_space_group_symop_operation_xyz
'x,y,z'
'-x,-y,z'
'-x,y,z'
'x,-y,z'
'x+1/2,y+1/2,z+1/2'
'-x+1/2,-y+1/2,z+1/2'
'-x+1/2,y+1/2,z+1/2'
'x+1/2,-y+1/2,z+1/2'
loop_
_atom_site_label
_atom_site_fract_x
_atom_site_fract_y
_atom_site_fract_z
Pr1 0.0000 0.0000 0.0000
Pr2 0.0000 0.0000 0.3932
Pr3 0.0000 0.5000 0.1996
Cd1 0.0000 0.0000 0.5567
Cd2 0.0000 0.0000 0.8402
Cd3 0.0000 0.5000 0.6299
Hg1 0.0000 0.5000 0.7641
```



A plane-wave DFT calculation with GGA-PBE was carried out for a relaxed PrCd3Hg3 crystal.

Output
Energy above the lowest structure with this stoichiometry ... 3.40 eV/f.u.
Crystal system ... cubic

```
data_PrCd3Hg3
_space_group_name_H-M_alt 'P m -3 n'
_space_group_IT_number 223
_space_group_name_Hall '-P 4n 2 3'
_cell_length_a 7.7277
_cell_length_b 7.7277
_cell_length_c 7.7277
_cell_angle_alpha 90.00
_cell_angle_beta 90.00
_cell_angle_gamma 90.00
loop_
_atom_site_label
_atom_site_fract_x
_atom_site_fract_y
_atom_site_fract_z
Pr1 0.0000 0.0000 0.0000
Cd1 0.0000 0.2500 0.5000
Hg1 0.0000 0.5000 0.2500
```



A plane-wave DFT calculation with GGA-PBE was carried out for a relaxed PrCd6Hg4 crystal.

Output
Crystal system ... hexagonal
E_tot ... -0.0416 Ha/atom

```
data_PrCd6Hg4
_space_group_name_H-M_alt 'P -6'
_space_group_IT_number 174
_cell_length_a 8.9415
_cell_length_b 8.9415
_cell_length_c 3.9952
_cell_angle_alpha 90.00
_cell_angle_beta 90.00
_cell_angle_gamma 120.00
loop_
_space_group_symop_operation_xyz
'x,y,z'
'-x+y,-x,-z'
'-y,x-y,z'
'x,y,-z'
'-x+y,-x,z'
'-y,x-y,-z'
loop_
_atom_site_label
_atom_site_fract_x
_atom_site_fract_y
_atom_site_fract_z
Pr1 0.0000 0.0000 0.0000
Cd1 0.1014 0.5191 0.0000
Cd2 0.3931 0.1428 0.5000
Hg1 0.1175 0.7757 0.5000
Hg2 0.6667 0.3333 0.0000
```



A plane-wave DFT calculation with GGA-PBE was carried out for a relaxed Pr8CdHg2 crystal.

Output
Energy above the lowest structure with this stoichiometry ... 0.00 eV/f.u.
Crystal system ... monoclinic

```
data_Pr8CdHg2
_space_group_name_H-M_alt 'C 1 2/m 1'
_space_group_IT_number 12
_cell_length_a 16.7954
_cell_length_b 5.5936
_cell_length_c 8.8820
_cell_angle_alpha 90.00
_cell_angle_beta 121.45
_cell_angle_gamma 90.00
loop_
_space_group_symop_operation_xyz
'x,y,z'
'-x,-y,-z'
'-x,y,-z'
'x,-y,z'
'x+1/2,y+1/2,z'
'-x+1/2,-y+1/2,-z'
'-x+1/2,y+1/2,-z'
'x+1/2,-y+1/2,z'
loop_
_atom_site_label
_atom_site_fract_x
_atom_site_fract_y
_atom_site_fract_z
Pr1 0.0710 0.0000 0.2233
Pr2 0.0927 0.5000 0.9500
Pr3 0.1380 0.0000 0.6932
Pr4 0.1805 0.5000 0.4506
Cd1 0.0000 0.5000 0.5000
Hg1 0.2296 0.0000 0.1228
```



A plane-wave DFT calculation with GGA-PBE was carried out for a relaxed PrCdHg crystal.

Output
Crystal system ... hexagonal
E_tot ... -0.0883 Ha/atom

```
data_PrCdHg
_space_group_name_H-M_alt 'P -6 m 2'
_space_group_IT_number 187
_space_group_name_Hall 'P -6 2'
_cell_length_a 5.0789
_cell_length_b 5.0789
_cell_length_c 3.5167
_cell_angle_alpha 90.00
_cell_angle_beta 90.00
_cell_angle_gamma 120.00
loop_
_atom_site_label
_atom_site_fract_x
_atom_site_fract_y
_atom_site_fract_z
Pr1 0.0000 0.0000 0.0000
Cd1 0.3333 0.6667 0.5000
Hg1 0.6667 0.3333 0.5000
```



A plane-wave DFT calculation with GGA-PBE was carried out for a relaxed Pr6Cd2Hg crystal.

Output
Energy above the lowest structure with this stoichiometry ... 0.78 eV/f.u.
Crystal system ... monoclinic

```
data_Pr6Cd2Hg
_space_group_name_H-M_alt 'P 1 21/c 1'
_space_group_IT_number 14
_cell_length_a 6.5989
_cell_length_b 8.8503
_cell_length_c 11.4045
_cell_angle_alpha 90.00
_cell_angle_beta 118.12
_cell_angle_gamma 90.00
loop_
_space_group_symop_operation_xyz
'x,y,z'
'-x,-y,-z'
'-x,y+1/2,-z+1/2'
'x,-y+1/2,z+1/2'
loop_
_atom_site_label
_atom_site_fract_x
_atom_site_fract_y
_atom_site_fract_z
Pr1 0.0685 0.0630 0.2222
Pr2 0.1737 0.7134 0.0699
Pr3 0.4043 0.1529 0.0460
Cd1 0.3237 0.1106 0.7300
Hg1 0.5000 0.0000 0.5000
```



A plane-wave DFT calculation with GGA-PBE was carried out for a relaxed PrCd6Hg12 crystal.

Output
Energy above the lowest structure with this stoichiometry ... 0.67 eV/f.u.
Crystal system ... trigonal

```
data_PrCd6Hg12
_space_group_name_H-M_alt 'R -3 m'
_space_group_IT_number 166
_space_group_name_Hall '-R 3 2"'
_cell_length_a 13.6505
_cell_length_b 13.6505
_cell_length_c 9.4261
_cell_angle_alpha 90.00
_cell_angle_beta 90.00
_cell_angle_gamma 120.00
loop_
_atom_site_label
_atom_site_fract_x
_atom_site_fract_y
_atom_site_fract_z
Pr1 0.0000 0.0000 0.0000
Cd1 0.0679 0.5340 0.2260
Hg1 0.0000 0.3878 0.5000
Hg2 0.0808 0.1617 0.2708
```



A plane-wave DFT calculation with GGA-PBE was carried out for a relaxed PrCd3Hg6 crystal.

Output
Crystal system ... trigonal
E_tot ... -0.0367 Ha/atom

```
data_PrCd3Hg6
_space_group_name_H-M_alt 'R 3 m'
_space_group_IT_number 160
_space_group_name_Hall 'R 3 -2"'
_cell_length_a 13.6136
_cell_length_b 13.6136
_cell_length_c 5.3023
_cell_angle_alpha 90.00
_cell_angle_beta 90.00
_cell_angle_gamma 120.00
loop_
_atom_site_label
_atom_site_fract_x
_atom_site_fract_y
_atom_site_fract_z
Pr1 0.0000 0.0000 0.0000
Cd1 0.1856 0.3713 0.6580
Hg1 0.0769 0.5385 0.8157
Hg2 0.1625 0.0812 0.5093
```



A plane-wave DFT calculation with GGA-PBE was carried out for a relaxed Pr2CdHg crystal.

Output
Energy above the lowest structure with this stoichiometry ... 0.02 eV/f.u.
Crystal system ... cubic

```
data_Pr2CdHg
_space_group_name_H-M_alt 'F m -3 m'
_space_group_IT_number 225
_space_group_name_Hall '-F 4 2 3'
_cell_length_a 7.7456
_cell_length_b 7.7456
_cell_length_c 7.7456
_cell_angle_alpha 90.00
_cell_angle_beta 90.00
_cell_angle_gamma 90.00
loop_
_atom_site_label
_atom_site_fract_x
_atom_site_fract_y
_atom_site_fract_z
Pr1 0.2500 0.2500 0.2500
Cd1 0.0000 0.0000 0.0000
Hg1 0.0000 0.0000 0.5000
```



A plane-wave DFT calculation with GGA-PBE was carried out for a relaxed Pr2CdHg2 crystal.

Output
Energy above the lowest structure with this stoichiometry ... 0.02 eV/f.u.
Crystal system ... monoclinic

```
data_Pr2CdHg2
_space_group_name_H-M_alt 'C 1 2/m 1'
_space_group_IT_number 12
_cell_length_a 11.5848
_cell_length_b 4.9530
_cell_length_c 10.5373
_cell_angle_alpha 90.00
_cell_angle_beta 112.56
_cell_angle_gamma 90.00
loop_
_space_group_symop_operation_xyz
'x,y,z'
'-x,-y,-z'
'-x,y,-z'
'x,-y,z'
'x+1/2,y+1/2,z'
'-x+1/2,-y+1/2,-z'
'-x+1/2,y+1/2,-z'
'x+1/2,-y+1/2,z'
loop_
_atom_site_label
_atom_site_fract_x
_atom_site_fract_y
_atom_site_fract_z
Pr1 0.0310 0.0000 0.3469
Pr2 0.1763 0.0000 0.0866
Cd1 0.2276 0.5000 0.3255
Hg1 0.0334 0.5000 0.8729
Hg2 0.1366 0.5000 0.5850
```



A plane-wave DFT calculation with GGA-PBE was carried out for a relaxed Pr2Cd3Hg5 crystal.

Output
Crystal system ... orthorhombic
E_tot ... -0.0583 Ha/atom

```
data_Pr2Cd3Hg5
_space_group_name_H-M_alt 'I b a m'
_space_group_IT_number 72
_space_group_name_Hall '-I 2 2c'
_cell_length_a 12.5709
_cell_length_b 12.9038
_cell_length_c 6.4234
_cell_angle_alpha 90.00
_cell_angle_beta 90.00
_cell_angle_gamma 90.00
loop_
_atom_site_label
_atom_site_fract_x
_atom_site_fract_y
_atom_site_fract_z
Pr1 0.2392 0.1259 0.0000
Cd1 0.0000 0.5000 0.2500
Cd2 0.1327 0.1311 0.5000
Hg1 0.0000 0.0000 0.2500
Hg2 0.0000 0.2615 0.2500
Hg3 0.1518 0.3852 0.0000
```



A plane-wave DFT calculation with GGA-PBE was carried out for a relaxed PrCdHg5 crystal.

Output
Crystal system ... tetragonal
E_tot ... -0.0462 Ha/atom

```
data_PrCdHg5
_space_group_name_H-M_alt 'P 4/m m m'
_space_group_IT_number 123
_space_group_name_Hall '-P 4 2'
_cell_length_a 4.9646
_cell_length_b 4.9646
_cell_length_c 7.5006
_cell_angle_alpha 90.00
_cell_angle_beta 90.00
_cell_angle_gamma 90.00
loop_
_atom_site_label
_atom_site_fract_x
_atom_site_fract_y
_atom_site_fract_z
Pr1 0.0000 0.0000 0.0000
Cd1 0.0000 0.0000 0.5000
Hg1 0.0000 0.5000 0.2838
Hg2 0.5000 0.5000 0.0000
```



A plane-wave DFT calculation with GGA-PBE was carried out for a relaxed Pr2Cd5Hg crystal.

Output
Energy above the lowest structure with this stoichiometry ... 0.00 eV/f.u.
Crystal system ... orthorhombic

```
data_Pr2Cd5Hg
_space_group_name_H-M_alt 'C m c m'
_space_group_IT_number 63
_space_group_name_Hall '-C 2c 2'
_cell_length_a 4.7229
_cell_length_b 17.8436
_cell_length_c 9.9811
_cell_angle_alpha 90.00
_cell_angle_beta 90.00
_cell_angle_gamma 90.00
loop_
_atom_site_label
_atom_site_fract_x
_atom_site_fract_y
_atom_site_fract_z
Pr1 0.0000 0.0000 0.0000
Pr2 0.0000 0.1949 0.2500
Cd1 0.0000 0.1921 0.6045
Cd2 0.0000 0.3551 0.5304
Cd3 0.0000 0.3909 0.2500
Hg1 0.0000 0.4542 0.7500
```



A plane-wave DFT calculation with GGA-PBE was carried out for a relaxed Pr2CdHg crystal.

Output
Energy above the lowest structure with this stoichiometry ... 0.71 eV/f.u.
Crystal system ... trigonal

```
data_Pr2CdHg
_space_group_name_H-M_alt 'R -3 m'
_space_group_IT_number 166
_space_group_name_Hall '-R 3 2"'
_cell_length_a 3.7935
_cell_length_b 3.7935
_cell_length_c 30.0304
_cell_angle_alpha 90.00
_cell_angle_beta 90.00
_cell_angle_gamma 120.00
loop_
_atom_site_label
_atom_site_fract_x
_atom_site_fract_y
_atom_site_fract_z
Pr1 0.0000 0.0000 0.2488
Cd1 0.0000 0.0000 0.0000
Hg1 0.0000 0.0000 0.5000
```



A plane-wave DFT calculation with GGA-PBE was carried out for a relaxed PrCdHg3 crystal.

Output
Energy above the lowest structure with this stoichiometry ... 0.00 eV/f.u.
Crystal system ... monoclinic

```
data_PrCdHg3
_space_group_name_H-M_alt 'P 1 21/m 1'
_space_group_IT_number 11
_cell_length_a 5.1508
_cell_length_b 5.1961
_cell_length_c 9.7343
_cell_angle_alpha 90.00
_cell_angle_beta 105.30
_cell_angle_gamma 90.00
loop_
_space_group_symop_operation_xyz
'x,y,z'
'-x,-y,-z'
'-x,y+1/2,-z'
'x,-y+1/2,z'
loop_
_atom_site_label
_atom_site_fract_x
_atom_site_fract_y
_atom_site_fract_z
Pr1 0.1510 0.2500 0.3008
Cd1 0.3479 0.2500 0.6985
Hg1 0.0449 0.7500 0.0910
Hg2 0.2506 0.7500 0.4983
Hg3 0.4489 0.7500 0.9024
```



A plane-wave DFT calculation with GGA-PBE was carried out for a relaxed Pr2Cd12Hg crystal.

Output
Crystal system ... tetragonal
E_tot ... -0.0550 Ha/atom

```
data_Pr2Cd12Hg
_space_group_name_H-M_alt 'P 4/n b m'
_space_group_IT_number 125
_cell_length_a 6.4664
_cell_length_b 6.4664
_cell_length_c 18.3715
_cell_angle_alpha 90.00
_cell_angle_beta 90.00
_cell_angle_gamma 90.00
loop_
_space_group_symop_operation_xyz
'x,y,z'
'-x,-y,-z'
'-y+1/2,x,z'
'y+1/2,-x,-z'
'-x+1/2,-y+1/2,z'
'x+1/2,y+1/2,-z'
'y,-x+1/2,z'
'-y,x+1/2,-z'
'x,-y+1/2,-z'
'-x,y+1/2,z'
'-y+1/2,-x+1/2,-z'
'y+1/2,x+1/2,z'
'-x+1/2,y,-z'
'x+1/2,-y,z'
'y,x,-z'
'-y,-x,z'
loop_
_atom_site_label
_atom_site_fract_x
_atom_site_fract_y
_atom_site_fract_z
Pr1 0.2500 0.7500 0.2464
Cd1 0.0000 0.0000 0.4016
Cd2 0.0869 0.5869 0.0681
Cd3 0.2500 0.2500 0.1575
Cd4 0.2500 0.2500 0.3060
Hg1 0.2500 0.7500 0.5000
```



A plane-wave DFT calculation with GGA-PBE was carried out for a relaxed PrCd5Hg6 crystal.

Output
Energy above the lowest structure with this stoichiometry ... 0.03 eV/f.u.
Crystal system ... monoclinic

```
data_PrCd5Hg6
_space_group_name_H-M_alt 'C 1 2/m 1'
_space_group_IT_number 12
_cell_length_a 9.0442
_cell_length_b 15.9579
_cell_length_c 4.8392
_cell_angle_alpha 90.00
_cell_angle_beta 121.96
_cell_angle_gamma 90.00
loop_
_space_group_symop_operation_xyz
'x,y,z'
'-x,-y,-z'
'-x,y,-z'
'x,-y,z'
'x+1/2,y+1/2,z'
'-x+1/2,-y+1/2,-z'
'-x+1/2,y+1/2,-z'
'x+1/2,-y+1/2,z'
loop_
_atom_site_label
_atom_site_fract_x
_atom_site_fract_y
_atom_site_fract_z
Pr1 0.0000 0.0000 0.0000
Cd1 0.0000 0.1625 0.5000
Cd2 0.0000 0.3114 0.0000
Cd3 0.0000 0.5000 0.5000
Hg1 0.2236 0.5000 0.2241
Hg2 0.2358 0.3377 0.7366
```



A plane-wave DFT calculation with GGA-PBE was carried out for a relaxed Pr3CdHg4 crystal.

Output
Energy above the lowest structure with this stoichiometry ... 0.00 eV/f.u.
Crystal system ... trigonal

```
data_Pr3CdHg4
_space_group_name_H-M_alt 'R -3 m'
_space_group_IT_number 166
_space_group_name_Hall '-R 3 2"'
_cell_length_a 5.2657
_cell_length_b 5.2657
_cell_length_c 27.5000
_cell_angle_alpha 90.00
_cell_angle_beta 90.00
_cell_angle_gamma 120.00
loop_
_atom_site_label
_atom_site_fract_x
_atom_site_fract_y
_atom_site_fract_z
Pr1 0.0000 0.0000 0.0000
Pr2 0.0000 0.0000 0.2395
Cd1 0.0000 0.0000 0.5000
Hg1 0.0000 0.0000 0.1230
Hg2 0.0000 0.0000 0.3720
```



A plane-wave DFT calculation with GGA-PBE was carried out for a relaxed Pr6Cd2Hg crystal.

Output
Energy above the lowest structure with this stoichiometry ... 0.00 eV/f.u.
Crystal system ... trigonal

```
data_Pr6Cd2Hg
_space_group_name_H-M_alt 'P -3 m 1'
_space_group_IT_number 164
_space_group_name_Hall '-P 3 2"'
_cell_length_a 5.5895
_cell_length_b 5.5895
_cell_length_c 10.4824
_cell_angle_alpha 90.00
_cell_angle_beta 90.00
_cell_angle_gamma 120.00
loop_
_atom_site_label
_atom_site_fract_x
_atom_site_fract_y
_atom_site_fract_z
Pr1 0.0000 0.0000 0.1793
Pr2 0.3333 0.6667 0.0194
Pr3 0.3333 0.6667 0.3901
Cd1 0.3333 0.6667 0.7115
Hg1 0.0000 0.0000 0.5000
```